Here is a geometry-optimized BaZrP2 structure from Alexandria. Energies are from GGA-PBEsol.

Cell: 3.932 3.932 7.527 Å, 74.86 74.86 60.00°
Sites, in units of the cell vectors:
P (0.733, 0.733, 0.802)
P (0.267, 0.267, 0.198)
Ba (0.500, 0.500, 0.500)
Zr (0.000, 0.000, 0.000)

Properties
* space group: No. 166
* ρ: 5.02 g cm⁻³
* energy of formation from the pure elements: -110.3 kJ/mol of atoms
* E_tot: -0.503 Ry per atom